# 1
A plane-wave DFT calculation with PBE was carried out for an optimized crystal structure of Sr2PbBr.

Properties
mass density = 5.25 Mg/m³
V = 36.56 Å³/atom
total moment = 0.000 μB per atom
DOS at the Fermi energy = 1.8 states/eV/f.u.
space-group type = Immm, No. 71
formation energy without anion corrections = -888 meV per atom
E = -3.074 eV per atom

Unit cell a=6.1272 b=6.1272 c=6.1272 alpha=134.16 beta=112.53 gamma=85.42
Positions (direct):
1 Pb 0.7500 0.2500 0.5000
2 Sr 0.0248 0.0248 0.0000
3 Sr 0.4752 0.4752 0.0000
4 Br 0.2500 0.7500 0.5000

---

# 2
A plane-wave DFT calculation with PBE was carried out for an optimized crystal structure of SrPbBr2.

Properties
mass density = 5.76 Mg/m³
V = 32.78 Å³/atom
total moment = 0.400 μB per atom
DOS at the Fermi energy = 4.1 states/eV/f.u.
space-group type = F-43m, No. 216
formation energy without anion corrections = -619 meV per atom
E = -2.803 eV per atom

Unit cell a=5.7025 b=5.7025 c=5.7025 alpha=60.00 beta=60.00 gamma=60.00
Last column: magnetic moment on the atom in μB.
Positions (direct):
1 Pb 0.5000 0.5000 0.5000  0.45
2 Sr 0.7500 0.7500 0.7500  0.11
3 Br 0.0000 0.0000 0.0000  0.07
4 Br 0.2500 0.2500 0.2500  0.07

---

# 3
A plane-wave DFT calculation with PBE was carried out for an optimized crystal structure of SrPbBr2.

Properties
mass density = 6.01 Mg/m³
V = 31.42 Å³/atom
total moment = 0.000 μB per atom
DOS at the Fermi energy = 3.1 states/eV/f.u.
space-group type = I4/mmm, No. 139
formation energy without anion corrections = -916 meV per atom
E = -3.100 eV per atom

Unit cell a=5.8859 b=5.8859 c=5.8859 alpha=127.10 beta=127.10 gamma=78.09
Positions (direct):
1 Pb 0.2500 0.7500 0.5000
2 Sr 0.7500 0.2500 0.5000
3 Br 0.0000 0.0000 0.0000
4 Br 0.5000 0.5000 0.0000